Entry 1:
Material: Th4OsRu2
Method: DFT, PBE
State: optimized geometry

abc: 7.354 7.551 7.907
angles: 108.86 107.86 109.37
Fractional coordinates of all 14 atoms:
Th 0.627 0.862 0.636
Th 0.109 0.262 0.716
Th 0.645 0.882 0.160
Th 0.010 0.411 0.291
Th 0.235 0.972 0.340
Th 0.143 0.795 0.784
Th 0.469 0.370 0.209
Th 0.741 0.476 0.864
Ru 0.561 0.118 0.926
Ru 0.385 0.443 0.574
Ru 0.885 0.760 0.407
Ru 0.227 0.602 0.093
Os 0.988 0.030 0.014
Os 0.724 0.266 0.486

Summary:
Energy of formation: -0.402 eV/atom
SG: Cc

Entry 2:
Material: SmTmIrRh
Method: DFT, PBE
State: optimized geometry

abc: 4.866 4.866 4.866
angles: 60.00 60.00 60.00
Fractional coordinates of all 4 atoms:
Ir 0.000 0.000 0.000
Sm 0.750 0.750 0.750
Rh 0.500 0.500 0.500
Tm 0.250 0.250 0.250

Summary:
Energy of formation: -0.821 eV/atom
SG: F-43m

Entry 3:
Material: NdZr5
Method: DFT, PBE
State: optimized geometry

abc: 4.617 4.605 7.319
angles: 108.34 90.00 90.00
Fractional coordinates of all 6 atoms:
Zr 0.000 0.329 0.658
Zr 0.500 0.500 0.000
Zr 0.500 0.828 0.656
Zr 0.000 0.671 0.342
Zr 0.500 0.172 0.344
Nd 0.000 0.000 0.000

Summary:
Energy of formation: 0.127 eV/atom
SG: Cmmm

Entry 4:
Material: Na2BeBr
Method: DFT, PBE
State: optimized geometry

abc: 7.843 7.843 6.681
angles: 54.06 54.06 90.00
Fractional coordinates of all 8 atoms:
Br 0.000 0.000 0.000
Br 0.750 0.250 0.500
Na 0.110 0.625 0.250
Na 0.875 0.890 0.750
Na 0.375 0.360 0.750
Na 0.640 0.125 0.250
Be 0.250 0.750 0.500
Be 0.500 0.500 0.000

Summary:
Distance to the lowest polymorph of the same formula: 0.000 eV/atom
Formation energy from raw total energies: 0.04 eV/atom
SG: I-42d

Entry 5:
Material: MgInAg2Se4
Method: DFT, PBE
State: optimized geometry

abc: 6.126 6.123 7.363
angles: 114.58 114.60 89.99
Fractional coordinates of all 8 atoms:
Se 0.861 0.363 0.219
Se 0.109 0.115 0.725
Se 0.616 0.611 0.725
Se 0.357 0.856 0.218
Ag 0.236 0.236 0.472
Ag 0.486 0.986 0.971
In 0.736 0.736 0.472
Mg 0.986 0.486 0.972

Summary:
Formation energy from raw total energies: -0.48 eV/atom
SG: I-4

Entry 6:
Material: Cs3K2YF9
Method: DFT, PBE
State: optimized geometry

abc: 6.859 6.859 8.544
angles: 90.00 90.00 120.00
Fractional coordinates of all 15 atoms:
F 0.851 0.149 0.651
F 0.851 0.702 0.651
F 0.149 0.298 0.349
F 0.500 0.500 0.000
F 0.500 0.000 0.000
F 0.702 0.851 0.349
F 0.149 0.851 0.349
F 0.298 0.149 0.651
F 0.000 0.500 0.000
K 0.333 0.667 0.195
K 0.667 0.333 0.805
Cs 0.000 0.000 0.000
Cs 0.667 0.333 0.300
Cs 0.333 0.667 0.700
Y 0.000 0.000 0.500

Summary:
Formation energy from raw total energies: -2.93 eV/atom
SG: P-3m1

Entry 7:
Material: Dy2Y5Ho6
Method: DFT, PBE
State: optimized geometry

abc: 3.576 11.583 20.200
angles: 90.00 90.00 90.00
Fractional coordinates of all 26 atoms:
Y 0.500 0.590 0.274
Y 0.500 0.000 0.500
Y 0.500 0.698 0.551
Y 0.500 0.090 0.226
Y 0.500 0.198 0.949
Y 0.500 0.410 0.726
Y 0.500 0.802 0.051
Y 0.500 0.910 0.774
Y 0.500 0.302 0.449
Y 0.500 0.500 0.000
Dy 0.000 0.332 0.289
Dy 0.000 0.832 0.211
Dy 0.000 0.168 0.789
Dy 0.000 0.668 0.711
Ho 0.500 0.328 0.136
Ho 0.000 0.561 0.420
Ho 0.000 0.583 0.132
Ho 0.000 0.417 0.868
Ho 0.000 0.083 0.368
Ho 0.500 0.672 0.864
Ho 0.000 0.439 0.580
Ho 0.500 0.828 0.364
Ho 0.500 0.172 0.636
Ho 0.000 0.917 0.632
Ho 0.000 0.061 0.080
Ho 0.000 0.939 0.920

Summary:
Energy of formation: 0.101 eV/atom
SG: Pbam

Entry 8:
Material: Tb2Nd4Er
Method: DFT, PBE
State: optimized geometry

abc: 6.237 6.683 11.667
angles: 90.00 104.32 90.00
Fractional coordinates of all 14 atoms:
Er 0.147 0.750 0.163
Er 0.853 0.250 0.837
Tb 0.608 0.750 0.994
Tb 0.392 0.250 0.006
Tb 0.287 0.250 0.423
Tb 0.713 0.750 0.577
Nd 0.152 0.750 0.450
Nd 0.647 0.511 0.285
Nd 0.353 0.489 0.715
Nd 0.848 0.250 0.550
Nd 0.647 0.989 0.285
Nd 0.353 0.011 0.715
Nd 0.041 0.750 0.865
Nd 0.959 0.250 0.135

Summary:
Distance to the lowest polymorph of the same formula: 0.065 eV/atom
Energy of formation: 0.123 eV/atom
SG: P2_1/m

Listing E for the structures above in their given order: -0.654; -0.527; -0.573; -0.145; -0.255; -0.353; -0.383; -0.336 Ry/atom.